Zn2TeCl | PBE | relaxed

Results
As for the energy above the most stable polymorph in this dataset: 291.3 meV per atom. The uncorrected formation energy comes out at -60 meV/atom. For the calculated volume, the calculation gives 85.95 Å³ per cell. The density of states at the Fermi level comes out at 1.76 states/eV/cell.

a = 4.975 Å, b = 4.975 Å, c = 3.473 Å
α = 90.00°, β = 90.00°, γ = 90.00°
Space group P4/mmm (No. 123)
Unique sites:
Zn  0.000  0.500  0.000 (multiplicity 2)
Te  0.000  0.000  0.500 (multiplicity 1)
Cl  0.500  0.500  0.500 (multiplicity 1)